Record 1
# Nd3Cd4Ag2 | Alexandria via LeMat-Bulk | PBE | relaxed
data_Nd3Cd4Ag2
_cell_length_a 11.1160
_cell_length_b 5.0205
_cell_length_c 9.3445
_cell_angle_alpha 90.00
_cell_angle_beta 120.46
_cell_angle_gamma 90.00
_symmetry_space_group_name_H-M 'C 1 2/m 1'
_symmetry_Int_Tables_number 12
_symmetry_space_group_name_Hall '-C 2y'
loop_
_atom_site_label
_atom_site_type_symbol
_atom_site_fract_x
_atom_site_fract_y
_atom_site_fract_z
Nd1 Nd 0.0000 0.0000 0.0000
Nd2 Nd 0.1695 0.5000 0.6625
Cd1 Cd 0.0516 0.0000 0.3832
Cd2 Cd 0.2183 0.5000 0.0543
Ag1 Ag 0.1056 0.5000 0.2731
# Energy relative to the elements ... -320 meV/atom
# Polymorph energy (0 for the lowest one) ... 0.000 eV per atom

=====

Record 2
# NdCd5Ag6 | Alexandria via LeMat-Bulk | PBE | relaxed
data_NdCd5Ag6
_cell_length_a 8.7562
_cell_length_b 13.9983
_cell_length_c 4.8714
_cell_angle_alpha 90.00
_cell_angle_beta 123.66
_cell_angle_gamma 90.00
_symmetry_space_group_name_H-M 'C 1 2/m 1'
_symmetry_Int_Tables_number 12
_symmetry_space_group_name_Hall '-C 2y'
loop_
_atom_site_label
_atom_site_type_symbol
_atom_site_fract_x
_atom_site_fract_y
_atom_site_fract_z
Nd1 Nd 0.0000 0.0000 0.0000
Cd1 Cd 0.0000 0.1565 0.5000
Cd2 Cd 0.0000 0.3248 0.0000
Cd3 Cd 0.0000 0.5000 0.5000
Ag1 Ag 0.2221 0.5000 0.2213
Ag2 Ag 0.2282 0.3270 0.7257
# Energy relative to the elements ... -76 meV/atom

=====

Record 3
# Nd4Cd2Ag | Alexandria via LeMat-Bulk | PBE | relaxed
data_Nd4Cd2Ag
_cell_length_a 15.9054
_cell_length_b 3.6292
_cell_length_c 8.1426
_cell_angle_alpha 90.00
_cell_angle_beta 116.21
_cell_angle_gamma 90.00
_symmetry_space_group_name_H-M 'C 1 2/m 1'
_symmetry_Int_Tables_number 12
_symmetry_space_group_name_Hall '-C 2y'
loop_
_atom_site_label
_atom_site_type_symbol
_atom_site_fract_x
_atom_site_fract_y
_atom_site_fract_z
Nd1 Nd 0.0894 0.0000 0.2205
Nd2 Nd 0.1290 0.5000 0.8649
Cd1 Cd 0.2218 0.0000 0.6505
Ag1 Ag 0.0000 0.0000 0.5000
# Energy relative to the elements ... -96 meV/atom
# Polymorph energy (0 for the lowest one) ... 0.029 eV per atom

=====

Record 4
# Nd3Cd5Ag2 | Alexandria via LeMat-Bulk | PBE | relaxed
data_Nd3Cd5Ag2
_cell_length_a 12.4290
_cell_length_b 13.2192
_cell_length_c 6.3447
_cell_angle_alpha 90.00
_cell_angle_beta 90.00
_cell_angle_gamma 90.00
_symmetry_space_group_name_H-M 'I b a m'
_symmetry_Int_Tables_number 72
_symmetry_space_group_name_Hall '-I 2 2c'
loop_
_atom_site_label
_atom_site_type_symbol
_atom_site_fract_x
_atom_site_fract_y
_atom_site_fract_z
Nd1 Nd 0.0000 0.0000 0.2500
Nd2 Nd 0.1263 0.2616 0.0000
Cd1 Cd 0.0000 0.5000 0.2500
Cd2 Cd 0.1251 0.3558 0.5000
Cd3 Cd 0.2452 0.5000 0.2500
Ag1 Ag 0.1364 0.1508 0.5000
# Energy relative to the elements ... -153 meV/atom

=====

Record 5
# NdCd4Ag2 | Alexandria via LeMat-Bulk | PBE | relaxed
data_NdCd4Ag2
_cell_length_a 9.2640
_cell_length_b 7.4599
_cell_length_c 5.6105
_cell_angle_alpha 90.00
_cell_angle_beta 126.86
_cell_angle_gamma 90.00
_symmetry_space_group_name_H-M 'C 1 2/m 1'
_symmetry_Int_Tables_number 12
_symmetry_space_group_name_Hall '-C 2y'
loop_
_atom_site_label
_atom_site_type_symbol
_atom_site_fract_x
_atom_site_fract_y
_atom_site_fract_z
Nd1 Nd 0.0000 0.0000 0.0000
Cd1 Cd 0.1958 0.1951 0.6961
Ag1 Ag 0.0006 0.5000 0.7501
# Energy relative to the elements ... -188 meV/atom
# Polymorph energy (0 for the lowest one) ... 0.000 eV per atom

=====

Record 6
# Nd2Cd12Ag | Alexandria via LeMat-Bulk | PBE | relaxed
data_Nd2Cd12Ag
_cell_length_a 6.3774
_cell_length_b 6.3774
_cell_length_c 18.4259
_cell_angle_alpha 90.00
_cell_angle_beta 90.00
_cell_angle_gamma 90.00
_symmetry_space_group_name_H-M 'P 4/n b m'
_symmetry_Int_Tables_number 125
loop_
_symmetry_equiv_pos_as_xyz
'x,y,z'
'-x,-y,-z'
'-y+1/2,x,z'
'y+1/2,-x,-z'
'-x+1/2,-y+1/2,z'
'x+1/2,y+1/2,-z'
'y,-x+1/2,z'
'-y,x+1/2,-z'
'x,-y+1/2,-z'
'-x,y+1/2,z'
'-y+1/2,-x+1/2,-z'
'y+1/2,x+1/2,z'
'-x+1/2,y,-z'
'x+1/2,-y,z'
'y,x,-z'
'-y,-x,z'
loop_
_atom_site_label
_atom_site_type_symbol
_atom_site_fract_x
_atom_site_fract_y
_atom_site_fract_z
Nd1 Nd 0.2500 0.7500 0.2492
Cd1 Cd 0.0001 0.9999 0.4084
Cd2 Cd 0.0846 0.5846 0.0687
Cd3 Cd 0.2500 0.2500 0.1612
Cd4 Cd 0.2500 0.2500 0.3092
Ag1 Ag 0.2500 0.7500 0.5000
# Energy relative to the elements ... -100 meV/atom

=====

Record 7
# Nd6CdAg | Alexandria via LeMat-Bulk | PBE | relaxed
data_Nd6CdAg
_cell_length_a 6.3015
_cell_length_b 6.3061
_cell_length_c 6.3084
_cell_angle_alpha 93.49
_cell_angle_beta 93.39
_cell_angle_gamma 93.51
_symmetry_space_group_name_H-M 'P -1'
_symmetry_Int_Tables_number 2
_symmetry_space_group_name_Hall '-P 1'
loop_
_atom_site_label
_atom_site_type_symbol
_atom_site_fract_x
_atom_site_fract_y
_atom_site_fract_z
Nd1 Nd 0.0287 0.2533 0.0522
Nd2 Nd 0.2464 0.9488 0.4700
Nd3 Nd 0.4486 0.4711 0.7466
Cd1 Cd 0.5000 0.0000 0.0000
Ag1 Ag 0.0000 0.5000 0.5000
# Energy relative to the elements ... -42 meV/atom
# Polymorph energy (0 for the lowest one) ... 0.085 eV per atom

=====

Record 8
# Nd5CdAg4 | Alexandria via LeMat-Bulk | PBE | relaxed
data_Nd5CdAg4
_cell_length_a 3.7713
_cell_length_b 3.7713
_cell_length_c 18.9214
_cell_angle_alpha 90.00
_cell_angle_beta 90.00
_cell_angle_gamma 90.00
_symmetry_space_group_name_H-M 'P 4/m m m'
_symmetry_Int_Tables_number 123
_symmetry_space_group_name_Hall '-P 4 2'
loop_
_atom_site_label
_atom_site_type_symbol
_atom_site_fract_x
_atom_site_fract_y
_atom_site_fract_z
Nd1 Nd 0.0000 0.0000 0.0000
Nd2 Nd 0.0000 0.0000 0.1980
Nd3 Nd 0.0000 0.0000 0.3955
Cd1 Cd 0.5000 0.5000 0.5000
Ag1 Ag 0.5000 0.5000 0.0984
Ag2 Ag 0.5000 0.5000 0.2970
# Energy relative to the elements ... -270 meV/atom

=====

Record 9
# NdCd12Ag6 | Alexandria via LeMat-Bulk | PBE | relaxed
data_NdCd12Ag6
_cell_length_a 12.5815
_cell_length_b 12.5815
_cell_length_c 9.4510
_cell_angle_alpha 90.00
_cell_angle_beta 90.00
_cell_angle_gamma 120.00
_symmetry_space_group_name_H-M 'R -3 m'
_symmetry_Int_Tables_number 166
_symmetry_space_group_name_Hall '-R 3 2"'
loop_
_atom_site_label
_atom_site_type_symbol
_atom_site_fract_x
_atom_site_fract_y
_atom_site_fract_z
Nd1 Nd 0.0000 0.0000 0.0000
Cd1 Cd 0.0000 0.3870 0.5000
Cd2 Cd 0.0830 0.1660 0.2952
Ag1 Ag 0.0597 0.5298 0.2357
# Energy relative to the elements ... -19 meV/atom

=====

Record 10
# Nd2Cd5Ag5 | Alexandria via LeMat-Bulk | PBE | relaxed
data_Nd2Cd5Ag5
_cell_length_a 4.7832
_cell_length_b 5.7443
_cell_length_c 9.8827
_cell_angle_alpha 90.00
_cell_angle_beta 90.00
_cell_angle_gamma 90.00
_symmetry_space_group_name_H-M 'P m m m'
_symmetry_Int_Tables_number 47
_symmetry_space_group_name_Hall '-P 2 2'
loop_
_atom_site_label
_atom_site_type_symbol
_atom_site_fract_x
_atom_site_fract_y
_atom_site_fract_z
Nd1 Nd 0.0000 0.0000 0.0000
Nd2 Nd 0.0000 0.5000 0.5000
Cd1 Cd 0.5000 0.0000 0.5000
Cd2 Cd 0.5000 0.2499 0.2451
Ag1 Ag 0.0000 0.0000 0.3341
Ag2 Ag 0.0000 0.5000 0.1638
Ag3 Ag 0.5000 0.5000 0.0000
# Energy relative to the elements ... -206 meV/atom

=====

Record 11
# Nd4CdAg3 | Alexandria via LeMat-Bulk | PBE | relaxed
data_Nd4CdAg3
_cell_length_a 3.7651
_cell_length_b 4.9306
_cell_length_c 11.8608
_cell_angle_alpha 90.00
_cell_angle_beta 90.00
_cell_angle_gamma 90.00
_symmetry_space_group_name_H-M 'P m m 2'
_symmetry_Int_Tables_number 25
_symmetry_space_group_name_Hall 'P 2 -2'
loop_
_atom_site_label
_atom_site_type_symbol
_atom_site_fract_x
_atom_site_fract_y
_atom_site_fract_z
Nd1 Nd 0.0000 0.0000 0.0000
Nd2 Nd 0.0000 0.5000 0.2886
Nd3 Nd 0.5000 0.0000 0.4873
Nd4 Nd 0.5000 0.5000 0.7983
Cd1 Cd 0.0000 0.0000 0.7160
Ag1 Ag 0.0000 0.5000 0.5667
Ag2 Ag 0.5000 0.0000 0.2166
Ag3 Ag 0.5000 0.5000 0.0714
# Energy relative to the elements ... -238 meV/atom
# Polymorph energy (0 for the lowest one) ... 0.029 eV per atom

=====

Record 12
# Nd12Cd6Ag | Alexandria via LeMat-Bulk | PBE | relaxed
data_Nd12Cd6Ag
_cell_length_a 11.5239
_cell_length_b 11.5239
_cell_length_c 14.7122
_cell_angle_alpha 90.00
_cell_angle_beta 90.00
_cell_angle_gamma 120.00
_symmetry_space_group_name_H-M 'R -3'
_symmetry_Int_Tables_number 148
_symmetry_space_group_name_Hall '-R 3'
loop_
_atom_site_label
_atom_site_type_symbol
_atom_site_fract_x
_atom_site_fract_y
_atom_site_fract_z
Nd1 Nd 0.0329 0.8425 0.3194
Nd2 Nd 0.0651 0.2129 0.9066
Cd1 Cd 0.0384 0.5946 0.2025
Ag1 Ag 0.0000 0.0000 0.5000
# Energy relative to the elements ... -116 meV/atom

=====

Record 13
# NdCd6Ag4 | Alexandria via LeMat-Bulk | PBE | relaxed
data_NdCd6Ag4
_cell_length_a 7.9958
_cell_length_b 7.9958
_cell_length_c 4.4453
_cell_angle_alpha 90.00
_cell_angle_beta 90.00
_cell_angle_gamma 120.00
_symmetry_space_group_name_H-M 'P -6 m 2'
_symmetry_Int_Tables_number 187
_symmetry_space_group_name_Hall 'P -6 2'
loop_
_atom_site_label
_atom_site_type_symbol
_atom_site_fract_x
_atom_site_fract_y
_atom_site_fract_z
Nd1 Nd 0.0000 0.0000 0.0000
Cd1 Cd 0.1996 0.3992 0.5000
Cd2 Cd 0.5356 0.0711 0.0000
Ag1 Ag 0.3333 0.6667 0.0000
Ag2 Ag 0.4017 0.2009 0.5000
# Energy relative to the elements ... -102 meV/atom
# Polymorph energy (0 for the lowest one) ... 0.000 eV per atom

=====

Record 14
# Nd2Cd4Ag5 | Alexandria via LeMat-Bulk | PBE | relaxed
data_Nd2Cd4Ag5
_cell_length_a 5.6928
_cell_length_b 9.2537
_cell_length_c 9.5883
_cell_angle_alpha 90.00
_cell_angle_beta 90.00
_cell_angle_gamma 90.00
_symmetry_space_group_name_H-M 'I m m m'
_symmetry_Int_Tables_number 71
_symmetry_space_group_name_Hall '-I 2 2'
loop_
_atom_site_label
_atom_site_type_symbol
_atom_site_fract_x
_atom_site_fract_y
_atom_site_fract_z
Nd1 Nd 0.0000 0.0000 0.2095
Cd1 Cd 0.0000 0.3318 0.2607
Ag1 Ag 0.0000 0.5000 0.5000
Ag2 Ag 0.2454 0.1699 0.5000
# Energy relative to the elements ... -115 meV/atom

=====

Record 15
# Nd5CdAg2 | Alexandria via LeMat-Bulk | PBE | relaxed
data_Nd5CdAg2
_cell_length_a 8.4749
_cell_length_b 8.4749
_cell_length_c 13.1729
_cell_angle_alpha 90.00
_cell_angle_beta 90.00
_cell_angle_gamma 90.00
_symmetry_space_group_name_H-M 'I 4/m c m'
_symmetry_Int_Tables_number 140
_symmetry_space_group_name_Hall '-I 4 2c'
loop_
_atom_site_label
_atom_site_type_symbol
_atom_site_fract_x
_atom_site_fract_y
_atom_site_fract_z
Nd1 Nd 0.0000 0.0000 0.0000
Nd2 Nd 0.1560 0.3440 0.1486
Cd1 Cd 0.0000 0.0000 0.2500
Ag1 Ag 0.1312 0.3688 0.5000
# Energy relative to the elements ... -165 meV/atom

=====

Record 16
# Nd12CdAg6 | Alexandria via LeMat-Bulk | PBE | relaxed
data_Nd12CdAg6
_cell_length_a 14.9194
_cell_length_b 14.9194
_cell_length_c 8.2842
_cell_angle_alpha 90.00
_cell_angle_beta 90.00
_cell_angle_gamma 120.00
_symmetry_space_group_name_H-M 'R -3'
_symmetry_Int_Tables_number 148
_symmetry_space_group_name_Hall '-R 3'
loop_
_atom_site_label
_atom_site_type_symbol
_atom_site_fract_x
_atom_site_fract_y
_atom_site_fract_z
Nd1 Nd 0.0032 0.8606 0.3379
Nd2 Nd 0.0617 0.5620 0.6763
Cd1 Cd 0.0000 0.0000 0.0000
Ag1 Ag 0.0240 0.2755 0.3251
# Energy relative to the elements ... -76 meV/atom

=====

Record 17
# Nd5Cd2Ag2 | Alexandria via LeMat-Bulk | PBE | relaxed
data_Nd5Cd2Ag2
_cell_length_a 17.2947
_cell_length_b 7.3658
_cell_length_c 8.3761
_cell_angle_alpha 90.00
_cell_angle_beta 90.00
_cell_angle_gamma 90.00
_symmetry_space_group_name_H-M 'C m c e'
_symmetry_Int_Tables_number 64
_symmetry_space_group_name_Hall '-C 2ac 2'
loop_
_atom_site_label
_atom_site_type_symbol
_atom_site_fract_x
_atom_site_fract_y
_atom_site_fract_z
Nd1 Nd 0.0000 0.0000 0.0000
Nd2 Nd 0.1363 0.1825 0.3142
Cd1 Cd 0.2209 0.0000 0.0000
Ag1 Ag 0.0000 0.1124 0.6323
# Energy relative to the elements ... -162 meV/atom

=====

Record 18
# NdCd3Ag8 | Alexandria via LeMat-Bulk | PBE | relaxed
data_NdCd3Ag8
_cell_length_a 5.6514
_cell_length_b 5.6514
_cell_length_c 8.9437
_cell_angle_alpha 90.00
_cell_angle_beta 90.00
_cell_angle_gamma 120.00
_symmetry_space_group_name_H-M 'P 3 m 1'
_symmetry_Int_Tables_number 156
_symmetry_space_group_name_Hall 'P 3 -2"'
loop_
_atom_site_label
_atom_site_type_symbol
_atom_site_fract_x
_atom_site_fract_y
_atom_site_fract_z
Nd1 Nd 0.0000 0.0000 0.0000
Cd1 Cd 0.0000 0.0000 0.3879
Cd2 Cd 0.6667 0.3333 0.4953
Cd3 Cd 0.6667 0.3333 0.8627
Ag1 Ag 0.1636 0.3272 0.6831
Ag2 Ag 0.3333 0.6667 0.4349
Ag3 Ag 0.3333 0.6667 0.9366
Ag4 Ag 0.5042 0.0085 0.1901
# Energy relative to the elements ... -64 meV/atom

=====

Record 19
# NdCdAg4 | Alexandria via LeMat-Bulk | PBE | relaxed
data_NdCdAg4
_cell_length_a 7.9691
_cell_length_b 7.9691
_cell_length_c 7.9691
_cell_angle_alpha 90.00
_cell_angle_beta 90.00
_cell_angle_gamma 90.00
_symmetry_space_group_name_H-M 'F -4 3 m'
_symmetry_Int_Tables_number 216
_symmetry_space_group_name_Hall 'F -4 2 3'
loop_
_atom_site_label
_atom_site_type_symbol
_atom_site_fract_x
_atom_site_fract_y
_atom_site_fract_z
Nd1 Nd 0.0000 0.0000 0.0000
Cd1 Cd 0.2500 0.2500 0.2500
Ag1 Ag 0.1244 0.1244 0.6244
# Energy relative to the elements ... -202 meV/atom

=====

Record 20
# Nd2CdAg | Alexandria via LeMat-Bulk | PBE | relaxed
data_Nd2CdAg
_cell_length_a 3.8133
_cell_length_b 3.8133
_cell_length_c 7.5776
_cell_angle_alpha 90.00
_cell_angle_beta 90.00
_cell_angle_gamma 90.00
_symmetry_space_group_name_H-M 'P 4/m m m'
_symmetry_Int_Tables_number 123
_symmetry_space_group_name_Hall '-P 4 2'
loop_
_atom_site_label
_atom_site_type_symbol
_atom_site_fract_x
_atom_site_fract_y
_atom_site_fract_z
Nd1 Nd 0.0000 0.0000 0.2431
Cd1 Cd 0.5000 0.5000 0.5000
Ag1 Ag 0.5000 0.5000 0.0000
# Energy relative to the elements ... -287 meV/atom

=====

| no. | energy (eV/f.u.) |
| --- | --- |
| 1 | -26.54 |
| 2 | -27.36 |
| 3 | -24.43 |
| 4 | -26.12 |
| 5 | -15.45 |
| 6 | -24.87 |
| 7 | -32.71 |
| 8 | -38.86 |
| 9 | -33.23 |
| 10 | -30.84 |
| 11 | -30.45 |
| 12 | -67.76 |
| 13 | -22.79 |
| 14 | -28.72 |
| 15 | -31.78 |
| 16 | -76.68 |
| 17 | -32.83 |
| 18 | -31.10 |
| 19 | -18.30 |
| 20 | -14.45 |